[1]
A relaxed AgTeOsI2 crystal, computed with PBE-GGA.

The uncorrected formation energy comes out at 1.562 eV per atom. For the theoretical density, the calculation gives 6.59 g/cm3. The distance to the lowest polymorph of the same formula is 848 meV per atom.

The structure belongs to space group P4/mmm (No. 123); the cell edges are 5.5235, 5.5235 and 5.6124 Å and the angles 90.00°, 90.00° and 90.00°. The distinct sites, in fractional coordinates, are Ag at (0.0000, 0.0000, 0.0000), Te at (0.0000, 0.0000, 0.5000), Os at (0.5000, 0.5000, 0.5000) and I at (0.0000, 0.5000, 0.0000).

***

[2]
A relaxed ZrPdNO2 crystal, computed with PBE-GGA.

The uncorrected formation energy comes out at -0.291 eV per atom. For the theoretical density, the calculation gives 6.70 g/cm3.

The structure belongs to space group P4/mmm (No. 123); the cell edges are 3.8778, 3.8778 and 4.0144 Å and the angles 90.00°, 90.00° and 90.00°. The distinct sites, in fractional coordinates, are Zr at (0.0000, 0.0000, 0.0000), Pd at (0.5000, 0.5000, 0.5000), N at (0.5000, 0.5000, 0.0000) and O at (0.0000, 0.5000, 0.5000).

***

[3]
A relaxed PuGe3 crystal, computed with PBE-GGA.

For the theoretical density, the calculation gives 9.49 g/cm3. The calculation puts the formation energy at -0.521 eV/f.u.

The structure belongs to space group Imm2 (No. 44); the cell edges are 3.1277, 9.9180 and 5.2117 Å and the angles 90.00°, 90.00° and 90.00°. The distinct sites, in fractional coordinates, are Pu at (0.0000, 0.0000, 0.0000), Ge at (0.0000, 0.2498, 0.3205) and Ge at (0.0000, 0.5000, 0.9969).

***

[4]
A relaxed Sr2SbPt crystal, computed with PBE-GGA.

The uncorrected formation energy comes out at -0.784 eV per atom. For the theoretical density, the calculation gives 5.48 g/cm3.

The structure belongs to space group R3m (No. 160, hexagonal axes); the cell edges are 4.6042, 4.6042 and 24.3460 Å and the angles 90.00°, 90.00° and 120.00°. The distinct sites, in fractional coordinates, are Sr at (0.0000, 0.0000, 0.0000), Sr at (0.0000, 0.0000, 0.1724), Sb at (0.0000, 0.0000, 0.7542) and Pt at (0.0000, 0.0000, 0.4174).

***

[5]
A relaxed Rb3CeBi3S8 crystal, computed with PBE-GGA.

The uncorrected formation energy comes out at -0.992 eV per atom. For the theoretical density, the calculation gives 4.55 g/cm3.

The structure belongs to space group R-3m (No. 166, hexagonal axes); the cell edges are 8.2758, 8.2758 and 23.6117 Å and the angles 90.00°, 90.00° and 120.00°. The distinct sites, in fractional coordinates, are Rb at (0.0000, 0.5000, 0.0000), Ce at (0.0000, 0.0000, 0.5000), Bi at (0.0000, 0.5000, 0.5000), S at (0.0000, 0.0000, 0.2334) and S at (0.0108, 0.5054, 0.2302).

***

[6]
A relaxed Y3Tm2Pt2 crystal, computed with PBE-GGA.

For the theoretical density, the calculation gives 8.88 g/cm3. The calculation puts the formation energy at -5.515 eV/f.u.

The structure belongs to space group C2/m (No. 12); the cell edges are 12.2726, 3.7338 and 9.0092 Å and the angles 90.00°, 115.70° and 90.00°. The distinct sites, in fractional coordinates, are Y at (0.0000, 0.0000, 0.0000), Y at (0.1140, 0.0000, 0.4341), Tm at (0.1664, 0.5000, 0.8142) and Pt at (0.1784, 0.5000, 0.2355).

***

[7]
A relaxed Na2TiRu crystal, computed with PBE-GGA.

For the theoretical density, the calculation gives 4.37 g/cm3. The distance to the lowest polymorph of the same formula is 632 meV per atom. The calculation puts the formation energy at 4.573 eV/f.u.

The structure belongs to space group Fm-3m (No. 225); the cell edges are 6.6641, 6.6641 and 6.6641 Å and the angles 90.00°, 90.00° and 90.00°. The distinct sites, in fractional coordinates, are Na at (0.2500, 0.2500, 0.2500), Ti at (0.0000, 0.0000, 0.0000) and Ru at (0.0000, 0.0000, 0.5000).

***

[8]
A relaxed Ac2LaMnN4 crystal, computed with PBE-GGA.

The uncorrected formation energy comes out at -0.832 eV per atom. For the theoretical density, the calculation gives 7.46 g/cm3.

The structure belongs to space group Cmcm (No. 63); the cell edges are 3.7482, 13.2098 and 12.6551 Å and the angles 90.00°, 90.00° and 90.00°. The distinct sites, in fractional coordinates, are Ac at (0.0000, 0.1274, 0.0439), La at (0.0000, 0.3552, 0.2500), Mn at (0.0000, 0.3161, 0.7500), N at (0.0000, 0.1437, 0.2500), N at (0.0000, 0.2214, 0.6349) and N at (0.0000, 0.5000, 0.0000).